[1]
A plane-wave DFT calculation with PBE-GGA was carried out for BaPuGa2 after structural relaxation.

Results
**DOS(E_F)**: 8.77 states/eV/f.u.
**Spin magnetization**: 6.02 μB per formula unit
**ΔE_f**: 0.022 eV per atom

Structure (POSCAR):
```
BaPuGa2
1.0
3.749 0.000 0.000
-1.875 3.247 0.000
0.000 0.000 29.305
Ba Pu Ga
3 3 6
Direct
0.000 0.000 0.000
0.333 0.667 0.667
0.667 0.333 0.333
0.000 0.000 0.500
0.333 0.667 0.167
0.667 0.333 0.833
0.000 0.000 0.243
0.000 0.000 0.757
0.333 0.667 0.424
0.333 0.667 0.909
0.667 0.333 0.091
0.667 0.333 0.576
```

---

[2]
A plane-wave DFT calculation with PBE-GGA was carried out for BaPuGa2 after structural relaxation.

Results
**DOS(E_F)**: 8.66 states/eV/f.u.
**Spin magnetization**: 5.73 μB per formula unit
**ΔE_f**: -0.248 eV per atom

Structure (POSCAR):
```
BaPuGa2
1.0
3.806 0.000 0.000
0.000 3.806 0.000
0.000 0.000 7.745
Ba Pu Ga
1 1 2
Direct
0.000 0.000 0.000
0.000 0.000 0.500
0.500 0.500 0.299
0.500 0.500 0.701
```

---

[3]
A plane-wave DFT calculation with PBE-GGA was carried out for Ba2PuGaS5 after structural relaxation.

Results
**DOS(E_F)**: 10.60 states/eV/f.u.
**Formation energy from raw total energies**: -1.60 eV per atom
**Spin magnetization**: 4.98 μB per formula unit

Structure (POSCAR):
```
Ba2PuGaS5
1.0
2.055 -9.162 0.000
2.055 9.162 0.000
0.000 0.000 13.026
Ba Pu Ga S
4 2 2 10
Direct
0.119 0.881 0.500
0.128 0.872 0.145
0.872 0.128 0.645
0.881 0.119 0.000
0.200 0.800 0.842
0.800 0.200 0.342
0.443 0.557 0.243
0.557 0.443 0.743
0.041 0.959 0.839
0.296 0.704 0.481
0.319 0.681 0.194
0.347 0.653 0.825
0.498 0.502 0.592
0.502 0.498 0.092
0.653 0.347 0.325
0.681 0.319 0.694
0.704 0.296 0.981
0.959 0.041 0.339
```

---

[4]
A plane-wave DFT calculation with PBE-GGA was carried out for BaPuGaS4 after structural relaxation.

Results
**DOS(E_F)**: 11.39 states/eV/f.u.
**Formation energy from raw total energies**: -1.42 eV per atom
**Spin magnetization**: 5.00 μB per formula unit

Structure (POSCAR):
```
BaPuGaS4
1.0
6.615 0.000 0.000
0.000 6.673 0.000
-2.574 0.000 8.123
Ba Pu Ga S
2 2 2 8
Direct
0.245 0.250 0.438
0.755 0.750 0.562
0.275 0.250 0.946
0.725 0.750 0.054
0.267 0.750 0.176
0.733 0.250 0.824
0.055 0.750 0.913
0.075 0.750 0.356
0.495 0.508 0.779
0.495 0.992 0.779
0.505 0.008 0.221
0.505 0.492 0.221
0.925 0.250 0.644
0.945 0.250 0.087
```

---

[5]
A plane-wave DFT calculation with PBE-GGA was carried out for Ba2PuGaTe5 after structural relaxation.

Results
**DOS(E_F)**: 14.37 states/eV/f.u.
**Formation energy from raw total energies**: -1.17 eV per atom
**Spin magnetization**: 4.95 μB per formula unit

Structure (POSCAR):
```
Ba2PuGaTe5
1.0
2.284 -10.317 0.000
2.284 10.317 0.000
0.000 0.000 14.132
Ba Pu Ga Te
4 2 2 10
Direct
0.120 0.880 0.500
0.124 0.876 0.138
0.876 0.124 0.638
0.880 0.120 0.000
0.203 0.797 0.836
0.797 0.203 0.336
0.438 0.562 0.248
0.562 0.438 0.748
0.047 0.953 0.856
0.296 0.704 0.484
0.313 0.687 0.182
0.352 0.648 0.820
0.499 0.501 0.086
0.501 0.499 0.586
0.648 0.352 0.320
0.687 0.313 0.682
0.704 0.296 0.984
0.953 0.047 0.356
```

---

[6]
A plane-wave DFT calculation with PBE-GGA was carried out for Rb2BaGa2 after structural relaxation.

Results
**DOS(E_F)**: 4.16 states/eV/f.u.
**Spin magnetization**: 0.00 μB per formula unit
**ΔE_f**: 0.047 eV per atom
**ΔE to the lowest computed polymorph**: 14 meV per atom

Structure (POSCAR):
```
Rb2BaGa2
1.0
5.298 0.000 0.000
0.000 5.298 0.000
0.000 0.000 15.411
Rb Ba Ga
4 2 4
Direct
0.000 0.500 0.250
0.000 0.500 0.750
0.500 0.000 0.250
0.500 0.000 0.750
0.000 0.000 0.000
0.500 0.500 0.500
0.000 0.000 0.421
0.000 0.000 0.579
0.500 0.500 0.079
0.500 0.500 0.921
```